# GGA-PBEsol KCdPt2, relaxed
# Offset from the most stable computed form ... 0 meV per atom
# Energy relative to the elements ... 0.059 eV/atom
# Fermi-level density of states ... 4.2 states/eV/cell
# VASP energy ... -4.005 eV per atom
data_KCdPt2
_chemical_formula_sum 'K2 Cd2 Pt4'
_space_group_name_H-M_alt 'I m m 2'
_space_group_IT_number 44
_cell_length_a 2.761
_cell_length_b 5.229
_cell_length_c 11.160
_cell_angle_alpha 90.00
_cell_angle_beta 90.00
_cell_angle_gamma 90.00
loop_
_space_group_symop_operation_xyz
'x,y,z'
'-x,-y,z'
'-x,y,z'
'x,-y,z'
'x+1/2,y+1/2,z+1/2'
'-x+1/2,-y+1/2,z+1/2'
'-x+1/2,y+1/2,z+1/2'
'x+1/2,-y+1/2,z+1/2'
loop_
_atom_site_label
_atom_site_type_symbol
_atom_site_fract_x
_atom_site_fract_y
_atom_site_fract_z
K1 K 0.000 0.000 0.000
Cd1 Cd 0.000 0.500 0.800
Pt1 Pt 0.000 0.000 0.519
Pt2 Pt 0.000 0.500 0.220